(1)
Computed, not measured: an optimized crystal structure of AcCuSn2Pt4 at the PBE-GGA level of DFT. Values from VASP.

Computed properties:
uncorrected energy = -5.69 eV per atom
SG = R-3m (166)

Quantum ESPRESSO input file:
```
&SYSTEM
  ibrav = 0, nat = 8, ntyp = 4
/
ATOMIC_SPECIES
Ac 227.00 Ac.upf
Cu 63.55 Cu.upf
Sn 118.71 Sn.upf
Pt 195.08 Pt.upf
CELL_PARAMETERS angstrom
2.245 1.296 9.311
-2.245 1.296 9.311
0.000 -2.592 9.311
ATOMIC_POSITIONS angstrom
Ac 0.000 0.000 0.000
Cu 0.000 0.000 13.966
Sn 0.000 0.000 6.616
Sn 0.000 0.000 21.315
Pt 0.000 0.000 3.856
Pt 0.000 0.000 11.293
Pt 0.000 0.000 16.639
Pt 0.000 0.000 24.076
```



(2)
Computed, not measured: an optimized crystal structure of AcCuSnPt3 at the PBE-GGA level of DFT. Values from VASP.

Computed properties:
uncorrected energy = -5.63 eV per atom
SG = Cmcm (63)

Quantum ESPRESSO input file:
```
&SYSTEM
  ibrav = 0, nat = 12, ntyp = 4
/
ATOMIC_SPECIES
Ac 227.00 Ac.upf
Cu 63.55 Cu.upf
Sn 118.71 Sn.upf
Pt 195.08 Pt.upf
CELL_PARAMETERS angstrom
2.913 -5.969 0.000
2.913 5.969 0.000
0.000 0.000 7.515
ATOMIC_POSITIONS angstrom
Ac 2.913 3.761 5.636
Ac 2.913 -3.761 1.879
Cu 2.913 0.768 5.636
Cu 2.913 -0.768 1.879
Sn 2.913 4.542 1.879
Sn 2.913 -4.542 5.636
Pt 1.449 0.000 0.000
Pt 1.449 0.000 3.757
Pt 2.913 1.905 1.879
Pt 2.913 -1.905 5.636
Pt 4.377 0.000 0.000
Pt 4.377 0.000 3.757
```



(3)
Computed, not measured: an optimized crystal structure of SrAcCuPt at the PBE-GGA level of DFT. Values from VASP.

Computed properties:
uncorrected energy = -4.59 eV per atom
SG = Amm2 (38)
energy relative to the lowest polymorph listed for this composition = 0.000 eV per atom

Quantum ESPRESSO input file:
```
&SYSTEM
  ibrav = 0, nat = 4, ntyp = 4
/
ATOMIC_SPECIES
Sr 87.62 Sr.upf
Ac 227.00 Ac.upf
Cu 63.55 Cu.upf
Pt 195.08 Pt.upf
CELL_PARAMETERS angstrom
4.432 0.000 0.000
0.000 2.143 5.905
0.000 -2.143 5.905
ATOMIC_POSITIONS angstrom
Sr 0.000 0.000 0.000
Ac 2.216 0.000 3.237
Cu 2.216 0.000 6.823
Pt 0.000 0.000 8.470
```



(4)
Computed, not measured: an optimized crystal structure of SrAcCuPt at the PBE-GGA level of DFT. Values from VASP.

Computed properties:
uncorrected energy = -4.47 eV per atom
SG = F-43m (216)
energy relative to the lowest polymorph listed for this composition = 0.120 eV per atom

Quantum ESPRESSO input file:
```
&SYSTEM
  ibrav = 0, nat = 4, ntyp = 4
/
ATOMIC_SPECIES
Sr 87.62 Sr.upf
Ac 227.00 Ac.upf
Cu 63.55 Cu.upf
Pt 195.08 Pt.upf
CELL_PARAMETERS angstrom
0.000 3.750 3.750
3.750 0.000 3.750
3.750 3.750 0.000
ATOMIC_POSITIONS angstrom
Sr 0.000 0.000 0.000
Ac 3.750 3.750 3.750
Cu 1.875 1.875 1.875
Pt 5.626 5.626 5.626
```



(5)
Computed, not measured: an optimized crystal structure of AcTbCuPt at the PBE-GGA level of DFT. Values from VASP.

Computed properties:
uncorrected energy = -5.31 eV per atom
SG = F-43m (216)

Quantum ESPRESSO input file:
```
&SYSTEM
  ibrav = 0, nat = 4, ntyp = 4
/
ATOMIC_SPECIES
Ac 227.00 Ac.upf
Tb 158.93 Tb.upf
Cu 63.55 Cu.upf
Pt 195.08 Pt.upf
CELL_PARAMETERS angstrom
0.000 3.657 3.657
3.657 0.000 3.657
3.657 3.657 0.000
ATOMIC_POSITIONS angstrom
Ac 0.000 0.000 0.000
Tb 3.657 3.657 3.657
Cu 5.486 5.486 5.486
Pt 1.829 1.829 1.829
```



(6)
Computed, not measured: an optimized crystal structure of Ac2Ti3CuPt12 at the PBE-GGA level of DFT. Values from VASP.

Computed properties:
uncorrected energy = -6.40 eV per atom
SG = R-3m (166)

Quantum ESPRESSO input file:
```
&SYSTEM
  ibrav = 0, nat = 18, ntyp = 4
/
ATOMIC_SPECIES
Ac 227.00 Ac.upf
Ti 47.87 Ti.upf
Cu 63.55 Cu.upf
Pt 195.08 Pt.upf
CELL_PARAMETERS angstrom
4.244 2.450 6.192
-4.244 2.450 6.192
0.000 -4.900 6.192
ATOMIC_POSITIONS angstrom
Ac 0.000 0.000 2.273
Ac 0.000 0.000 16.304
Ti -2.122 -1.225 6.192
Ti -2.122 1.225 12.384
Ti 0.000 2.450 6.192
Cu 0.000 0.000 9.288
Pt 0.000 -2.345 5.396
Pt -2.031 1.173 5.396
Pt -2.078 -1.200 8.618
Pt 0.000 -2.399 9.958
Pt -2.078 1.200 9.958
Pt -2.031 -1.173 13.181
Pt 2.031 1.173 5.396
Pt 2.078 -1.200 8.618
Pt 0.000 2.399 8.618
Pt 2.078 1.200 9.958
Pt 2.031 -1.173 13.181
Pt 0.000 2.345 13.181
```



(7)
Computed, not measured: an optimized crystal structure of AcTlCuPt at the PBE-GGA level of DFT. Values from VASP.

Computed properties:
uncorrected energy = -4.49 eV per atom
SG = F-43m (216)

Quantum ESPRESSO input file:
```
&SYSTEM
  ibrav = 0, nat = 4, ntyp = 4
/
ATOMIC_SPECIES
Ac 227.00 Ac.upf
Tl 204.38 Tl.upf
Cu 63.55 Cu.upf
Pt 195.08 Pt.upf
CELL_PARAMETERS angstrom
0.000 3.615 3.615
3.615 0.000 3.615
3.615 3.615 0.000
ATOMIC_POSITIONS angstrom
Ac 0.000 0.000 0.000
Tl 3.615 3.615 3.615
Cu 5.423 5.423 5.423
Pt 1.808 1.808 1.808
```



(8)
Computed, not measured: an optimized crystal structure of Ac2UCuPt6 at the PBE-GGA level of DFT. Values from VASP.

Computed properties:
uncorrected energy = -6.45 eV per atom
SG = Fm-3m (225)

Quantum ESPRESSO input file:
```
&SYSTEM
  ibrav = 0, nat = 10, ntyp = 4
/
ATOMIC_SPECIES
Ac 227.00 Ac.upf
U 238.03 U.upf
Cu 63.55 Cu.upf
Pt 195.08 Pt.upf
CELL_PARAMETERS angstrom
0.000 4.945 4.945
4.945 0.000 4.945
4.945 4.945 0.000
ATOMIC_POSITIONS angstrom
Ac 2.473 2.473 2.473
Ac 7.418 7.418 7.418
U 0.000 0.000 0.000
Cu 4.945 4.945 4.945
Pt 4.945 4.945 2.543
Pt 4.945 2.543 4.945
Pt 7.347 4.945 4.945
Pt 2.543 4.945 4.945
Pt 4.945 7.347 4.945
Pt 4.945 4.945 7.347
```



(9)
Computed, not measured: an optimized crystal structure of Ac2U3CuPt12 at the PBE-GGA level of DFT. Values from VASP.

Computed properties:
uncorrected energy = -7.18 eV per atom
SG = R-3m (166)

Quantum ESPRESSO input file:
```
&SYSTEM
  ibrav = 0, nat = 18, ntyp = 4
/
ATOMIC_SPECIES
Ac 227.00 Ac.upf
U 238.03 U.upf
Cu 63.55 Cu.upf
Pt 195.08 Pt.upf
CELL_PARAMETERS angstrom
4.726 2.729 4.839
-4.726 2.729 4.839
0.000 -5.457 4.839
ATOMIC_POSITIONS angstrom
Ac 0.000 0.000 1.996
Ac 0.000 0.000 12.520
U -2.363 -1.364 4.839
U -2.363 1.364 9.677
U 0.000 2.729 4.839
Cu 0.000 0.000 7.258
Pt 0.000 -2.503 3.765
Pt -2.168 1.252 3.765
Pt -2.058 -1.188 8.057
Pt 0.000 -2.377 6.460
Pt -2.058 1.188 6.460
Pt -2.168 -1.252 10.751
Pt 2.168 1.252 3.765
Pt 2.058 -1.188 8.057
Pt 0.000 2.377 8.057
Pt 2.058 1.188 6.460
Pt 2.168 -1.252 10.751
Pt 0.000 2.503 10.751
```



(10)
Computed, not measured: an optimized crystal structure of Ac2Zn3CuPt4 at the PBE-GGA level of DFT. Values from VASP.

Computed properties:
uncorrected energy = -4.78 eV per atom
SG = P-4m2 (115)

Quantum ESPRESSO input file:
```
&SYSTEM
  ibrav = 0, nat = 10, ntyp = 4
/
ATOMIC_SPECIES
Ac 227.00 Ac.upf
Zn 65.41 Zn.upf
Cu 63.55 Cu.upf
Pt 195.08 Pt.upf
CELL_PARAMETERS angstrom
4.301 0.000 0.000
0.000 4.301 0.000
0.000 0.000 10.929
ATOMIC_POSITIONS angstrom
Ac 0.000 2.151 2.727
Ac 2.151 0.000 8.203
Zn 0.000 2.151 9.526
Zn 2.151 0.000 1.404
Zn 2.151 2.151 5.465
Cu 0.000 0.000 5.465
Pt 0.000 0.000 0.000
Pt 0.000 2.151 6.972
Pt 2.151 0.000 3.957
Pt 2.151 2.151 0.000
```



(11)
Computed, not measured: an optimized crystal structure of Ac2Zn3Cu12Pt at the PBE-GGA level of DFT. Values from VASP.

Computed properties:
uncorrected energy = -3.51 eV per atom
SG = R-3m (166)

Quantum ESPRESSO input file:
```
&SYSTEM
  ibrav = 0, nat = 18, ntyp = 4
/
ATOMIC_SPECIES
Ac 227.00 Ac.upf
Zn 65.41 Zn.upf
Cu 63.55 Cu.upf
Pt 195.08 Pt.upf
CELL_PARAMETERS angstrom
4.074 2.352 6.418
-4.074 2.352 6.418
0.000 -4.704 6.418
ATOMIC_POSITIONS angstrom
Ac 0.000 0.000 2.060
Ac 0.000 0.000 17.193
Zn -2.037 -1.176 6.418
Zn -2.037 1.176 12.835
Zn 0.000 2.352 6.418
Cu -1.988 -1.148 8.939
Cu 0.000 -1.496 5.040
Cu -1.296 0.748 5.040
Cu 0.000 -2.296 10.313
Cu -1.988 1.148 10.313
Cu 1.296 0.748 5.040
Cu -1.296 -0.748 14.212
Cu 1.988 -1.148 8.939
Cu 0.000 2.296 8.939
Cu 1.296 -0.748 14.212
Cu 0.000 1.496 14.212
Cu 1.988 1.148 10.313
Pt 0.000 0.000 9.626
```



(12)
Computed, not measured: an optimized crystal structure of AcZnCu2Pt at the PBE-GGA level of DFT. Values from VASP.

Computed properties:
uncorrected energy = -4.38 eV per atom
SG = Imm2 (44)

Quantum ESPRESSO input file:
```
&SYSTEM
  ibrav = 0, nat = 5, ntyp = 4
/
ATOMIC_SPECIES
Ac 227.00 Ac.upf
Zn 65.41 Zn.upf
Cu 63.55 Cu.upf
Pt 195.08 Pt.upf
CELL_PARAMETERS angstrom
-2.066 2.139 5.538
2.066 -2.139 5.538
2.066 2.139 -5.538
ATOMIC_POSITIONS angstrom
Ac 0.000 0.000 0.000
Zn 2.066 0.000 2.766
Cu 0.000 0.000 6.959
Cu 0.000 2.139 2.803
Pt 0.000 0.000 4.377
```



(13)
Computed, not measured: an optimized crystal structure of AcZnCuPt2 at the PBE-GGA level of DFT. Values from VASP.

Computed properties:
uncorrected energy = -5.02 eV per atom
SG = I-4m2 (119)

Quantum ESPRESSO input file:
```
&SYSTEM
  ibrav = 0, nat = 5, ntyp = 4
/
ATOMIC_SPECIES
Ac 227.00 Ac.upf
Zn 65.41 Zn.upf
Cu 63.55 Cu.upf
Pt 195.08 Pt.upf
CELL_PARAMETERS angstrom
-2.090 2.090 5.808
2.090 -2.090 5.808
2.090 2.090 -5.808
ATOMIC_POSITIONS angstrom
Ac 0.000 0.000 0.000
Zn 0.000 2.090 2.904
Cu 2.090 0.000 2.904
Pt 0.000 0.000 4.453
Pt 0.000 0.000 7.163
```



(14)
Computed, not measured: an optimized crystal structure of AcZnCuPt3 at the PBE-GGA level of DFT. Values from VASP.

Computed properties:
uncorrected energy = -5.10 eV per atom
SG = Cmcm (63)

Quantum ESPRESSO input file:
```
&SYSTEM
  ibrav = 0, nat = 12, ntyp = 4
/
ATOMIC_SPECIES
Ac 227.00 Ac.upf
Zn 65.41 Zn.upf
Cu 63.55 Cu.upf
Pt 195.08 Pt.upf
CELL_PARAMETERS angstrom
3.299 -6.159 0.000
3.299 6.159 0.000
0.000 0.000 5.882
ATOMIC_POSITIONS angstrom
Ac 3.299 3.511 4.412
Ac 3.299 -3.511 1.471
Zn 3.299 4.516 1.471
Zn 3.299 -4.516 4.412
Cu 3.299 0.534 4.412
Cu 3.299 -0.534 1.471
Pt 1.365 0.000 0.000
Pt 1.365 0.000 2.941
Pt 3.299 2.053 1.471
Pt 3.299 -2.053 4.412
Pt 5.234 0.000 0.000
Pt 5.234 0.000 2.941
```



(15)
Computed, not measured: an optimized crystal structure of Ac2ZnCu3Pt4 at the PBE-GGA level of DFT. Values from VASP.

Computed properties:
uncorrected energy = -5.24 eV per atom
SG = P-4m2 (115)

Quantum ESPRESSO input file:
```
&SYSTEM
  ibrav = 0, nat = 10, ntyp = 4
/
ATOMIC_SPECIES
Ac 227.00 Ac.upf
Zn 65.41 Zn.upf
Cu 63.55 Cu.upf
Pt 195.08 Pt.upf
CELL_PARAMETERS angstrom
4.217 0.000 0.000
0.000 4.217 0.000
0.000 0.000 11.064
ATOMIC_POSITIONS angstrom
Ac 0.000 2.108 2.636
Ac 2.108 0.000 8.428
Zn 0.000 0.000 5.532
Cu 0.000 2.108 9.565
Cu 2.108 0.000 1.499
Cu 2.108 2.108 5.532
Pt 0.000 0.000 0.000
Pt 0.000 2.108 7.053
Pt 2.108 0.000 4.010
Pt 2.108 2.108 0.000
```



(16)
Computed, not measured: an optimized crystal structure of Ac2ZnCu6Pt at the PBE-GGA level of DFT. Values from VASP.

Computed properties:
uncorrected energy = -4.19 eV per atom
SG = P-1 (2)

Quantum ESPRESSO input file:
```
&SYSTEM
  ibrav = 0, nat = 10, ntyp = 4
/
ATOMIC_SPECIES
Ac 227.00 Ac.upf
Zn 65.41 Zn.upf
Cu 63.55 Cu.upf
Pt 195.08 Pt.upf
CELL_PARAMETERS angstrom
6.305 0.000 0.000
3.147 5.476 0.000
3.132 1.794 5.492
ATOMIC_POSITIONS angstrom
Ac 3.146 1.819 2.207
Ac 9.439 5.452 3.286
Zn 0.000 0.000 0.000
Cu 5.820 4.994 4.883
Cu 5.327 2.534 4.869
Cu 4.884 3.939 0.611
Cu 7.701 3.332 4.881
Cu 7.258 4.736 0.623
Cu 6.765 2.277 0.609
Pt 6.293 3.635 2.746
```



(17)
Computed, not measured: an optimized crystal structure of AcZn2CuPt4 at the PBE-GGA level of DFT. Values from VASP.

Computed properties:
uncorrected energy = -4.96 eV per atom
SG = R-3m (166)

Quantum ESPRESSO input file:
```
&SYSTEM
  ibrav = 0, nat = 8, ntyp = 4
/
ATOMIC_SPECIES
Ac 227.00 Ac.upf
Zn 65.41 Zn.upf
Cu 63.55 Cu.upf
Pt 195.08 Pt.upf
CELL_PARAMETERS angstrom
2.168 1.252 8.931
-2.168 1.252 8.931
0.000 -2.503 8.931
ATOMIC_POSITIONS angstrom
Ac 0.000 0.000 0.000
Zn 0.000 0.000 6.257
Zn 0.000 0.000 20.536
Cu 0.000 0.000 13.397
Pt 0.000 0.000 3.522
Pt 0.000 0.000 10.859
Pt 0.000 0.000 15.934
Pt 0.000 0.000 23.271
```



(18)
Computed, not measured: an optimized crystal structure of AcZn4CuPt2 at the PBE-GGA level of DFT. Values from VASP.

Computed properties:
uncorrected energy = -3.62 eV per atom
SG = R-3m (166)

Quantum ESPRESSO input file:
```
&SYSTEM
  ibrav = 0, nat = 8, ntyp = 4
/
ATOMIC_SPECIES
Ac 227.00 Ac.upf
Zn 65.41 Zn.upf
Cu 63.55 Cu.upf
Pt 195.08 Pt.upf
CELL_PARAMETERS angstrom
2.167 1.251 8.996
-2.167 1.251 8.996
0.000 -2.502 8.996
ATOMIC_POSITIONS angstrom
Ac 0.000 0.000 0.000
Zn 0.000 0.000 3.600
Zn 0.000 0.000 11.014
Zn 0.000 0.000 15.973
Zn 0.000 0.000 23.387
Cu 0.000 0.000 13.493
Pt 0.000 0.000 6.262
Pt 0.000 0.000 20.725
```



(19)
Computed, not measured: an optimized crystal structure of Ac2ZnCuPt6 at the PBE-GGA level of DFT. Values from VASP.

Computed properties:
uncorrected energy = -5.36 eV per atom
SG = Fm-3m (225)

Quantum ESPRESSO input file:
```
&SYSTEM
  ibrav = 0, nat = 10, ntyp = 4
/
ATOMIC_SPECIES
Ac 227.00 Ac.upf
Zn 65.41 Zn.upf
Cu 63.55 Cu.upf
Pt 195.08 Pt.upf
CELL_PARAMETERS angstrom
0.000 4.760 4.760
4.760 0.000 4.760
4.760 4.760 0.000
ATOMIC_POSITIONS angstrom
Ac 2.380 2.380 2.380
Ac 7.140 7.140 7.140
Zn 0.000 0.000 0.000
Cu 4.760 4.760 4.760
Pt 4.760 4.760 2.385
Pt 4.760 2.385 4.760
Pt 7.136 4.760 4.760
Pt 2.385 4.760 4.760
Pt 4.760 7.136 4.760
Pt 4.760 4.760 7.136
```



(20)
Computed, not measured: an optimized crystal structure of AcZn4Cu2Pt at the PBE-GGA level of DFT. Values from VASP.

Computed properties:
uncorrected energy = -3.19 eV per atom
SG = R-3m (166)

Quantum ESPRESSO input file:
```
&SYSTEM
  ibrav = 0, nat = 8, ntyp = 4
/
ATOMIC_SPECIES
Ac 227.00 Ac.upf
Zn 65.41 Zn.upf
Cu 63.55 Cu.upf
Pt 195.08 Pt.upf
CELL_PARAMETERS angstrom
2.132 1.231 9.297
-2.132 1.231 9.297
0.000 -2.462 9.297
ATOMIC_POSITIONS angstrom
Ac 0.000 0.000 0.000
Zn 0.000 0.000 3.692
Zn 0.000 0.000 11.386
Zn 0.000 0.000 16.506
Zn 0.000 0.000 24.199
Cu 0.000 0.000 6.489
Cu 0.000 0.000 21.403
Pt 0.000 0.000 13.946
```



(21)
Computed, not measured: an optimized crystal structure of AcPuCu4 at the PBE-GGA level of DFT. Values from VASP.

Computed properties:
uncorrected energy = -5.75 eV per atom
SG = F-43m (216)

Quantum ESPRESSO input file:
```
&SYSTEM
  ibrav = 0, nat = 6, ntyp = 3
/
ATOMIC_SPECIES
Ac 227.00 Ac.upf
Pu 244.00 Pu.upf
Cu 63.55 Cu.upf
CELL_PARAMETERS angstrom
0.000 3.834 3.834
3.834 0.000 3.834
3.834 3.834 0.000
ATOMIC_POSITIONS angstrom
Ac 0.000 0.000 0.000
Pu 5.751 5.751 5.751
Cu 2.889 2.889 2.889
Cu 4.778 4.778 2.889
Cu 4.778 2.889 4.778
Cu 2.889 4.778 4.778
```



(22)
Computed, not measured: an optimized crystal structure of AcPuCu at the PBE-GGA level of DFT. Values from VASP.

Computed properties:
uncorrected energy = -7.36 eV per atom
SG = I4mm (107)
energy relative to the lowest polymorph listed for this composition = 0.013 eV per atom

Quantum ESPRESSO input file:
```
&SYSTEM
  ibrav = 0, nat = 3, ntyp = 3
/
ATOMIC_SPECIES
Ac 227.00 Ac.upf
Pu 244.00 Pu.upf
Cu 63.55 Cu.upf
CELL_PARAMETERS angstrom
-1.840 1.840 6.240
1.840 -1.840 6.240
1.840 1.840 -6.240
ATOMIC_POSITIONS angstrom
Ac 0.000 0.000 0.000
Pu 0.000 0.000 3.489
Cu 0.000 0.000 8.194
```



(23)
Computed, not measured: an optimized crystal structure of AcPu2Cu9 at the PBE-GGA level of DFT. Values from VASP.

Computed properties:
uncorrected energy = -5.87 eV per atom
SG = R-3m (166)

Quantum ESPRESSO input file:
```
&SYSTEM
  ibrav = 0, nat = 12, ntyp = 3
/
ATOMIC_SPECIES
Ac 227.00 Ac.upf
Pu 244.00 Pu.upf
Cu 63.55 Cu.upf
CELL_PARAMETERS angstrom
2.631 1.519 8.400
-2.631 1.519 8.400
0.000 -3.038 8.400
ATOMIC_POSITIONS angstrom
Ac 0.000 0.000 0.000
Pu 0.000 0.000 3.759
Pu 0.000 0.000 21.441
Cu -1.295 -0.747 10.469
Cu 0.000 0.000 8.350
Cu 0.000 -1.495 14.732
Cu -1.295 0.747 14.732
Cu 0.000 0.000 12.600
Cu 1.295 -0.747 10.469
Cu 0.000 1.495 10.469
Cu 0.000 0.000 16.850
Cu 1.295 0.747 14.732
```